i:
6
Lattice="3.9253 0.0000 0.0000 0.0000 4.0231 0.0000 0.0000 0.0000 7.6690" Properties=species:S:1:pos:R:3 comment="Ce2PIr3 PBE optimized geometry" spacegroup="No. 25" magmom_total_mub_per_cell=0.0 crystal_system=orthorhombic pbc="T T T"
Ce 0.0000 2.0116 0.0069
Ce 0.0000 0.0000 3.8340
P 1.9627 2.0116 2.5533
Ir 1.9627 0.0000 6.4802
Ir 1.9627 0.0000 1.4049
Ir 1.9627 2.0116 4.8932

ii:
6
Lattice="-3.8393 3.3088 -0.5129 -4.5090 -2.1875 -0.9141 -3.1909 0.0990 3.9699" Properties=species:S:1:pos:R:3 comment="Ce2PIr3 PBE optimized geometry" spacegroup="No. 166" magmom_total_mub_per_cell=0.0 crystal_system=trigonal pbc="T T T"
Ce -4.3843 0.4637 0.9662
Ce -7.1549 0.7567 1.5768
P 0.0000 0.0000 0.0000
Ir -1.5954 0.0495 1.9850
Ir -1.9197 1.6544 -0.2564
Ir -2.2545 -1.0937 -0.4570

Tell me which of them is the least stable. Sure, it is i.

i:
4
Lattice="-2.7716 2.1761 0.7194 0.6688 -0.3119 3.5200 4.4950 5.8366 -0.3370" Properties=species:S:1:pos:R:3 comment="CePa2Ir PBE optimized geometry" spacegroup="No. 123" magmom_total_mub_per_cell=0.0 crystal_system=tetragonal pbc="T T T"
Pa 3.5774 4.6452 -0.2682
Pa 0.9176 1.1914 -0.0688
Ce 1.1961 3.8504 1.9512
Ir -1.0514 0.9321 2.1197

ii:
4
Lattice="-3.3149 0.9313 -0.2597 -2.0895 -1.6491 -2.1995 -4.1375 -6.6043 6.1718" Properties=species:S:1:pos:R:3 comment="CePa2Ir PBE optimized geometry" spacegroup="No. 166" magmom_total_mub_per_cell=0.0 crystal_system=trigonal pbc="T T T"
Pa -3.4398 -4.7034 4.0838
Pa -6.1020 -2.6187 -0.3711
Ce 0.0000 0.0000 0.0000
Ir -4.7709 -3.6610 1.8563

Tell me which of them is the least stable. Sure, it is ii.

i:
3
Lattice="3.8829 0.0000 0.0000 0.0000 4.4902 0.0000 0.0000 -2.2451 3.8886" Properties=species:S:1:pos:R:3 comment="CePaIr PBE optimized geometry" spacegroup="No. 156" magmom_total_mub_per_cell=0.0 crystal_system=trigonal pbc="T T T"
Pa 1.2361 0.0000 2.5924
Ce 2.5779 2.2451 1.2962
Ir 0.0689 0.0000 0.0000

ii:
6
Lattice="4.4052 -0.2102 -0.0645 0.2247 4.6635 0.1503 0.1252 0.4700 7.0565" Properties=species:S:1:pos:R:3 comment="CePaIr PBE optimized geometry" spacegroup="No. 11" magmom_total_mub_per_cell=0.0 crystal_system=monoclinic pbc="T T T"
Ce 3.8435 4.0253 4.0146
Ce 1.5041 1.8819 2.0197
Pa 3.7898 2.2045 6.2924
Pa 1.6831 4.1728 6.7986
Ir 3.8231 4.4277 1.2786
Ir 1.5245 1.4795 4.7560

iii:
3
Lattice="3.6384 0.0000 0.0000 0.0000 3.6384 0.0000 -1.8192 -1.8192 5.1631" Properties=species:S:1:pos:R:3 comment="CePaIr PBE optimized geometry" spacegroup="No. 107" magmom_total_mub_per_cell=0.6 crystal_system=tetragonal pbc="T T T"
Pa 1.8192 1.8192 1.9880
Ce 1.8192 1.8192 5.0762
Ir 0.0000 0.0000 3.2619

iv:
6
Lattice="5.4262 0.0000 1.4587 0.0000 3.4736 0.0000 -0.6553 0.0000 7.5373" Properties=species:S:1:pos:R:3 comment="CePaIr PBE optimized geometry" spacegroup="No. 11" magmom_total_mub_per_cell=0.0 crystal_system=monoclinic pbc="T T T"
Pa 1.2498 0.8684 5.6595
Pa 3.5211 2.6052 3.3365
Ce 3.5448 0.8684 8.1962
Ce 1.2261 2.6052 0.7998
Ir 4.0132 0.8684 5.3332
Ir 0.7577 2.6052 3.6629

Tell me which of them is the least stable. Sure, it is iv.

i:
3
Lattice="-2.3659 0.6081 -4.1188 2.1279 -1.0458 -4.1605 -1.4255 -3.8094 -2.5274" Properties=species:S:1:pos:R:3 comment="CePaIr PBE optimized geometry" spacegroup="No. 216" magmom_total_mub_per_cell=0.0 crystal_system=cubic pbc="T T T"
Pa 0.0000 0.0000 0.0000
Ce -0.8317 -2.1235 -5.4033
Ir -0.4159 -1.0618 -2.7017

ii:
12
Lattice="6.0883 0.0000 0.0000 0.0000 7.9021 -2.6088 0.0000 0.0344 5.6583" Properties=species:S:1:pos:R:3 comment="CePaIr PBE optimized geometry" spacegroup="No. 14" magmom_total_mub_per_cell=0.0 crystal_system=monoclinic pbc="T T T"
Ce 0.5031 1.9157 3.8189
Ce 5.5852 6.0208 -0.7694
Ce 3.5473 2.0870 3.3641
Ce 2.5410 5.8496 -0.3146
Pa 4.5436 0.7527 0.9494
Pa 4.5889 4.7209 2.4741
Pa 1.5447 7.1839 2.1001
Pa 1.4994 3.2156 0.5754
Ir 1.5987 4.5555 2.9706
Ir 4.4896 3.3811 0.0789
Ir 1.4454 0.5872 1.4458
Ir 4.6429 7.3494 1.6037

Tell me which of them is the least stable. Sure, it is i.

i:
4
Lattice="-2.1385 0.5826 -3.0803 0.4166 -3.9987 -1.0456 -3.4353 -1.5177 4.4354" Properties=species:S:1:pos:R:3 comment="CePaIrRh PBE optimized geometry" spacegroup="No. 38" magmom_total_mub_per_cell=0.0 crystal_system=orthorhombic pbc="T T T"
Ce -4.1219 -2.5958 0.0331
Pa -1.2260 -0.3338 0.7880
Ir -3.6218 -0.9861 2.3279
Rh -1.7612 -1.9531 -1.4843

ii:
4
Lattice="4.9021 0.0000 0.0000 2.4510 4.2453 0.0000 2.4510 1.4151 4.0025" Properties=species:S:1:pos:R:3 comment="CePaIrRh PBE optimized geometry" spacegroup="No. 216" magmom_total_mub_per_cell=1.0 crystal_system=cubic pbc="T T T"
Pa 7.3531 4.2453 3.0019
Rh 4.9021 2.8302 2.0013
Ce 2.4510 1.4151 1.0006
Ir 0.0000 0.0000 0.0000

Tell me which of them is the least stable. Sure, it is ii.

i:
16
Lattice="5.4506 0.0000 0.0000 -2.7253 8.6649 0.0000 0.0000 0.0000 12.3285" Properties=species:S:1:pos:R:3 comment="Ce5IrPb2 PBE optimized geometry" spacegroup="No. 63" magmom_total_mub_per_cell=11.6 crystal_system=orthorhombic pbc="T T T"
Ce 2.7253 7.7650 11.1729
Ce 2.7253 7.7650 7.3198
Ce 0.0000 4.7305 5.4256
Ce 0.0000 4.7305 0.7386
Ce 2.7253 3.2579 3.0821
Ce 0.0000 5.4070 9.2464
Ce 2.7253 3.9344 6.9028
Ce 2.7253 3.9344 11.5899
Ce 0.0000 0.8999 1.1556
Ce 0.0000 0.8999 5.0087
Ir 2.7253 5.7351 9.2464
Ir 0.0000 2.9298 3.0821
Pb 2.7253 6.3422 4.5668
Pb 2.7253 6.3422 1.5974
Pb 0.0000 2.3227 7.7616
Pb 0.0000 2.3227 10.7311

ii:
16
Lattice="-2.8642 3.1560 -2.0258 -4.2430 -5.9448 -3.2625 -7.3839 -0.2475 10.0540" Properties=species:S:1:pos:R:3 comment="Ce5IrPb2 PBE optimized geometry" spacegroup="No. 55" magmom_total_mub_per_cell=9.9 crystal_system=orthorhombic pbc="T T T"
Ce -3.6920 -0.1238 5.0270
Ce -2.1215 -2.9724 -1.6313
Ce -5.1721 -5.2283 -0.8327
Ce -6.4548 -0.9640 7.6242
Ce -7.8360 -3.9116 4.9848
Ce -3.7910 -2.2808 1.8067
Ce -7.6522 -2.6946 1.1249
Ce -6.8390 -0.3418 3.6407
Ce -11.7651 -3.4082 5.8282
Ce -2.7260 0.3719 -1.0626
Ir -5.8135 -3.0962 3.3957
Ir 0.0000 0.0000 0.0000
Pb -5.2166 -1.9479 -1.1552
Pb -9.2745 -1.0885 5.9209
Pb -10.3022 -4.0242 2.8002
Pb -4.1889 0.9879 1.9654

Tell me which of them is the least stable. Sure, it is i.

i:
4
Lattice="3.8782 0.0000 0.0000 0.0000 4.1530 0.0000 -1.9391 0.0000 5.7637" Properties=species:S:1:pos:R:3 comment="CePmIrPd PBE optimized geometry" spacegroup="No. 38" magmom_total_mub_per_cell=0.0 crystal_system=orthorhombic pbc="T T T"
Ce 1.9391 2.0765 4.2571
Pm 0.0000 0.0000 1.6699
Ir 0.0000 0.0000 4.6353
Pd 1.9391 2.0765 0.9650

ii:
4
Lattice="5.0145 0.0000 0.0000 2.5073 4.3427 0.0000 2.5073 1.4476 4.0943" Properties=species:S:1:pos:R:3 comment="CePmIrPd PBE optimized geometry" spacegroup="No. 216" magmom_total_mub_per_cell=0.9 crystal_system=cubic pbc="T T T"
Ir 0.0000 0.0000 0.0000
Pd 5.0145 2.8951 2.0472
Ce 2.5073 1.4476 1.0236
Pm 7.5218 4.3427 3.0708

Tell me which of them is the least stable. Sure, it is ii.

i:
4
Lattice="-3.5441 0.5923 1.5417 1.5263 -0.7314 3.7897 2.9880 5.3950 -0.1621" Properties=species:S:1:pos:R:3 comment="CePrIrPd PBE optimized geometry" spacegroup="No. 38" magmom_total_mub_per_cell=0.0 crystal_system=orthorhombic pbc="T T T"
Ce -0.1065 4.1540 3.1174
Pr 0.3552 1.6625 0.1778
Ir 0.9776 4.5755 0.4894
Pd -0.8122 0.8513 2.7642

ii:
4
Lattice="-1.3813 0.3105 -4.8465 -0.3204 -4.1847 -2.8068 -4.5171 -1.7254 -1.4532" Properties=species:S:1:pos:R:3 comment="CePrIrPd PBE optimized geometry" spacegroup="No. 216" magmom_total_mub_per_cell=1.0 crystal_system=cubic pbc="T T T"
Pr 0.0000 0.0000 0.0000
Ir -1.5547 -1.3999 -2.2766
Pd -4.6641 -4.1998 -6.8298
Ce -3.1094 -2.7999 -4.5532

Tell me which of them is the least stable. Sure, it is ii.